Entry from Alexandria: a geometry-optimized La2PaCr2C4 structure (PBE-GGA).

Lattice parameters (Å, degrees): 13.4018 3.5136 6.2198 90.00 109.45 90.00
With the nearest neighbours (Å) after each atom.
Space group C2/m (No. 12)
Inequivalent atoms, fractional coordinates:
La1 0.1334 0.0000 0.0371 x4  7 C 2.79-3.08, 1 Cr 3.11
Pa1 0.0000 0.0000 0.5000 x2  6 C 2.45-2.68
Cr1 0.1839 0.5000 0.4955 x4  4 C 1.90-2.02
C1 0.0458 0.5000 0.2742 x4  1 Cr 1.90
C2 0.2121 0.0000 0.6643 x4  3 Cr 1.96-2.02

- formation enthalpy at 0 K (meV per atom) = -110